(1)
This record from Alexandria describes crystalline Li2ReAs at its relaxed geometry. The functional is PBE.

Geometry as POSCAR:
```
Li2ReAs
1.0
3.2029 0.0000 0.0000
0.0000 3.2029 0.0000
0.0000 0.0000 5.6590
As Li Re
1 2 1
direct
0.5000 0.5000 0.7245
0.0000 0.0000 0.0058
0.5000 0.5000 0.2504
0.0000 0.0000 0.5193
```

Output
DFT formation energy = -0.18 eV/f.u.
DOS(E_F) = 1.4 states/eV/f.u.
Space-group type = P4mm, No. 99


(2)
This record from Alexandria describes crystalline LiRe2As at its relaxed geometry. The functional is PBE.

Geometry as POSCAR:
```
LiRe2As
1.0
-2.2738 -0.7171 -1.4321
0.9029 -1.8051 1.9135
-5.1854 4.0070 6.2268
As Li Re
1 1 2
direct
0.0000 0.0000 0.4979
0.5000 0.5000 0.7506
0.0000 0.0000 0.0067
0.5000 0.5000 0.2448
```

Output
DFT formation energy = 1.10 eV/f.u.
DOS(E_F) = 2.7 states/eV/f.u.
Space-group type = Cmm2, No. 35


(3)
This record from Alexandria describes crystalline Li2ReAs at its relaxed geometry. The functional is PBE.

Geometry as POSCAR:
```
Li2ReAs
1.0
-1.3455 1.3760 2.1068
-0.1104 -2.8411 0.2405
7.5338 0.1085 4.7407
As Li Re
1 2 1
direct
0.5000 0.5000 0.7364
0.0000 0.0000 0.9767
0.5000 0.5000 0.2680
0.0000 0.0000 0.5189
```

Output
DFT formation energy = 0.87 eV/f.u.
DOS(E_F) = 2.5 states/eV/f.u.
Space-group type = Cmm2, No. 35


(4)
This record from Alexandria describes crystalline LiReAs at its relaxed geometry. The functional is PBE.

Geometry as POSCAR:
```
LiReAs
1.0
6.9672 -0.0121 0.0086
6.1711 2.6832 -0.0331
0.7961 -0.9350 2.5283
As Li Re
1 1 1
direct
0.0062 0.0062 0.9938
0.3324 0.3324 0.6676
0.6615 0.6615 0.3385
```

Output
DFT formation energy = 0.84 eV/f.u.
DOS(E_F) = 2.2 states/eV/f.u.
E above lowest polymorph = 0.470 eV per atom
Space-group type = Fmm2, No. 42


(5)
This record from Alexandria describes crystalline Li2ReAs at its relaxed geometry. The functional is PBE.

Geometry as POSCAR:
```
Li2ReAs
1.0
-1.4136 1.0246 -1.9595
-2.1872 -0.3059 1.4179
1.0582 7.7997 3.3149
As Li Re
1 2 1
direct
0.5000 0.5000 0.7500
0.0000 0.0000 0.9902
0.0000 0.0000 0.5098
0.5000 0.5000 0.2500
```

Output
DFT formation energy = 0.09 eV/f.u.
DOS(E_F) = 1.2 states/eV/f.u.
Space-group type = P4/mmm, No. 123


(6)
This record from Alexandria describes crystalline LiReAs at its relaxed geometry. The functional is PBE.

Geometry as POSCAR:
```
LiReAs
1.0
2.9787 0.0000 0.0000
-1.4894 2.5797 0.0000
0.0000 0.0000 6.3449
As Li Re
1 1 1
direct
0.0000 0.0000 0.9767
0.6667 0.3333 0.3319
0.3333 0.6667 0.6914
```

Output
DFT formation energy = 0.55 eV/f.u.
DOS(E_F) = 2.8 states/eV/f.u.
E above lowest polymorph = 0.373 eV per atom
Space-group type = P3m1, No. 156